No. 1
Gd2CuP | PBE | relaxed

Output
- DFT total energy: -10.12 eV/atom
- Symmetry: No. 123

abc: 4.823 4.823 3.633
angles: 90.00 90.00 90.00
Fractional coordinates of all 4 atoms:
Gd 0.000 0.500 0.000
Gd 0.500 0.000 0.000
Cu 0.000 0.000 0.500
P 0.500 0.500 0.500


No. 2
ThScHg | PBE | relaxed

Output
- DFT total energy: -4.91 eV/atom
- Symmetry: No. 107

abc: 6.922 6.922 6.922
angles: 150.74 150.74 41.86
Fractional coordinates of all 3 atoms:
Th 0.000 0.000 0.000
Sc 0.317 0.317 0.000
Hg 0.686 0.686 0.000


No. 3
Ba2Ca2Bi2H | PBE | relaxed

Output
- DFT total energy: -3.52 eV/atom
- Symmetry: No. 139

abc: 9.855 9.855 9.855
angles: 150.44 150.44 42.29
Fractional coordinates of all 7 atoms:
Ba 0.176 0.176 0.000
Ba 0.824 0.824 0.000
Ca 0.000 0.500 0.500
Ca 0.500 0.000 0.500
Bi 0.378 0.378 0.000
Bi 0.622 0.622 0.000
H 0.000 0.000 0.000


No. 4
CsPb5Au2 | PBE | relaxed

Output
- DFT total energy: -3.37 eV/atom
- Symmetry: No. 71

abc: 8.144 8.144 8.144
angles: 147.23 115.83 73.94
Fractional coordinates of all 8 atoms:
Cs 0.000 0.000 0.000
Pb 0.151 0.347 0.804
Pb 0.458 0.653 0.804
Pb 0.500 0.000 0.500
Pb 0.542 0.347 0.196
Pb 0.849 0.653 0.196
Au 0.262 0.762 0.500
Au 0.738 0.238 0.500


No. 5
La5Pr3S8 | PBE | relaxed

Output
- Formation energy without anion corrections: -33.9 eV per formula unit
- Symmetry: No. 166

abc: 8.272 8.272 8.272
angles: 60.06 60.06 60.06
Fractional coordinates of all 16 atoms:
La 0.000 0.000 0.000
La 0.000 0.500 0.500
La 0.500 0.000 0.500
La 0.500 0.500 0.000
La 0.500 0.500 0.500
Pr 0.000 0.000 0.500
Pr 0.000 0.500 0.000
Pr 0.500 0.000 0.000
S 0.249 0.750 0.750
S 0.250 0.250 0.250
S 0.250 0.250 0.751
S 0.250 0.751 0.250
S 0.750 0.249 0.750
S 0.750 0.750 0.249
S 0.750 0.750 0.750
S 0.751 0.250 0.250


What is the formula in the first record? Gd2CuP